# 1
VASP calculation (GGA-PBE) on a geometry-optimized TcIrRh2 structure.

It has space group C2/m (No. 12), with a = 9.0627 Å, b = 2.7171 Å, c = 4.7216 Å, α = 90.00°, β = 99.99° and γ = 90.00°. Symmetry generates all atoms from Tc at (0.0000, 0.0000, 0.0000), Ir at (0.0000, 0.5000, 0.5000) and Rh at (0.2501, 0.0000, 0.7518).

The formation energy comes out at -6.1 kJ/mol of atoms. The calculation puts the excess energy over the best structure of this formula in the dataset at 36.6 meV/atom.



# 2
VASP calculation (GGA-PBE) on a geometry-optimized Ti3VH8 structure.

It has space group Pm-3m (No. 221), with a = 4.3532 Å, b = 4.3532 Å, c = 4.3532 Å, α = 90.00°, β = 90.00° and γ = 90.00°. Symmetry generates all atoms from Ti at (0.0000, 0.0000, 0.5000), V at (0.5000, 0.5000, 0.5000) and H at (0.2567, 0.2567, 0.2567).

Its electronic total energy is -5.401 eV per atom.



# 3
VASP calculation (GGA-PBE) on a geometry-optimized NaTl2GeTe4 structure.

It has space group Imma (No. 74), with a = 8.8478 Å, b = 8.9229 Å, c = 12.4962 Å, α = 90.00°, β = 90.00° and γ = 90.00°. Symmetry generates all atoms from Na at (0.2500, 0.2500, 0.2500), Tl at (0.0000, 0.0000, 0.0000), Tl at (0.2500, 0.2500, 0.7500), Ge at (0.0000, 0.0000, 0.5000), Te at (0.0000, 0.0029, 0.7387) and Te at (0.2277, 0.2500, 0.4987).

The energy relative to the elements, uncorrected is -0.22 eV/atom.



# 4
VASP calculation (GGA-PBE) on a geometry-optimized PSe structure.

It has space group P2_1/c (No. 14), with a = 12.4121 Å, b = 7.4266 Å, c = 13.0087 Å, α = 90.00°, β = 116.96° and γ = 90.00°. Symmetry generates all atoms from P at (0.1710, 0.2069, 0.0740), P at (0.2343, 0.0034, 0.3307), P at (0.3122, 0.1176, 0.7012), P at (0.3238, 0.6744, 0.7567), Se at (0.0707, 0.1093, 0.1729), Se at (0.1791, 0.6014, 0.1985), Se at (0.2965, 0.5280, 0.5900) and Se at (0.3726, 0.2309, 0.3734).

The calculation puts the excess energy over the best structure of this formula in the dataset at 0.0 meV/atom. The energy relative to the elements, uncorrected is -0.08 eV/atom.



# 5
VASP calculation (GGA-PBE) on a geometry-optimized La2Sm4As3N2 structure.

It has space group I4/mmm (No. 139), with a = 4.6868 Å, b = 4.6868 Å, c = 24.7024 Å, α = 90.00°, β = 90.00° and γ = 90.00°. Symmetry generates all atoms from La at (0.0000, 0.0000, 0.1949), Sm at (0.0000, 0.5000, 0.0787), As at (0.0000, 0.0000, 0.3267), As at (0.0000, 0.0000, 0.5000) and N at (0.0000, 0.0000, 0.1013).

The energy relative to the elements, uncorrected is -1.30 eV/atom.



# 6
VASP calculation (GGA-PBE) on a geometry-optimized FeHSe2 structure.

It has space group Fm-3m (No. 225), with a = 5.8574 Å, b = 5.8574 Å, c = 5.8574 Å, α = 90.00°, β = 90.00° and γ = 90.00°. Symmetry generates all atoms from Fe at (0.0000, 0.0000, 0.0000), H at (0.0000, 0.0000, 0.5000) and Se at (0.2500, 0.2500, 0.2500).

The calculation puts the excess energy over the best structure of this formula in the dataset at 546.9 meV/atom.



# 7
VASP calculation (GGA-PBE) on a geometry-optimized YZn4Ag2 structure.

It has space group I4/mmm (No. 139), with a = 7.6835 Å, b = 7.6835 Å, c = 5.5753 Å, α = 90.00°, β = 90.00° and γ = 90.00°. Symmetry generates all atoms from Y at (0.0000, 0.0000, 0.0000), Zn at (0.0000, 0.2256, 0.5000) and Ag at (0.0000, 0.5000, 0.2500).

The formation energy comes out at 22.2 kJ/mol of atoms. The calculation puts the excess energy over the best structure of this formula in the dataset at 439.2 meV/atom.



# 8
VASP calculation (GGA-PBE) on a geometry-optimized PmFeP2 structure.

It has space group R-3m (No. 166, hexagonal axes), with a = 4.2309 Å, b = 4.2309 Å, c = 22.2302 Å, α = 90.00°, β = 90.00° and γ = 120.00°. Symmetry generates all atoms from Pm at (0.0000, 0.0000, 0.0000), Fe at (0.0000, 0.0000, 0.5000) and P at (0.0000, 0.0000, 0.4018).

The formation energy comes out at 5.9 kJ/mol of atoms.



# 9
VASP calculation (GGA-PBE) on a geometry-optimized Be3W5 structure.

It has space group P6_3/mcm (No. 193), with a = 7.0002 Å, b = 7.0002 Å, c = 4.9589 Å, α = 90.00°, β = 90.00° and γ = 120.00°. Symmetry generates all atoms from Be at (0.0000, 0.3980, 0.2500), W at (0.0000, 0.2445, 0.7500) and W at (0.3333, 0.6667, 0.0000).

The formation energy comes out at 4.7 kJ/mol of atoms. The calculation puts the excess energy over the best structure of this formula in the dataset at 0.0 meV/atom.



# 10
VASP calculation (GGA-PBE) on a geometry-optimized Tm8Sc2Sn structure.

It has space group C2/m (No. 12), with a = 17.4074 Å, b = 4.7982 Å, c = 7.6705 Å, α = 90.00°, β = 105.91° and γ = 90.00°. Symmetry generates all atoms from Tm at (0.0452, 0.0000, 0.2250), Tm at (0.0940, 0.5000, 0.9451), Tm at (0.1385, 0.0000, 0.6829), Tm at (0.1817, 0.5000, 0.4090), Sc at (0.2229, 0.0000, 0.1309) and Sn at (0.0000, 0.5000, 0.5000).

The formation energy comes out at -10.8 kJ/mol of atoms.



# 11
VASP calculation (GGA-PBE) on a geometry-optimized BaCu2Rh2 structure.

It has space group I4/mmm (No. 139), with a = 4.2690 Å, b = 4.2690 Å, c = 10.6563 Å, α = 90.00°, β = 90.00° and γ = 90.00°. Symmetry generates all atoms from Ba at (0.0000, 0.0000, 0.0000), Cu at (0.0000, 0.0000, 0.3800) and Rh at (0.0000, 0.5000, 0.2500).

The formation energy comes out at 12.1 kJ/mol of atoms. The calculation puts the excess energy over the best structure of this formula in the dataset at 23.9 meV/atom.



# 12
VASP calculation (GGA-PBE) on a geometry-optimized BeMoBr2 structure.

It has space group Cmm2 (No. 35), with a = 3.1967 Å, b = 5.9280 Å, c = 9.4745 Å, α = 90.00°, β = 90.00° and γ = 90.00°. Symmetry generates all atoms from Be at (0.0000, 0.0000, 0.0000), Mo at (0.0000, 0.5000, 0.2087), Br at (0.0000, 0.0000, 0.4177) and Br at (0.0000, 0.5000, 0.8448).

The calculation puts the excess energy over the best structure of this formula in the dataset at 228.8 meV/atom. The energy relative to the elements, uncorrected is 0.26 eV/atom.



# 13
VASP calculation (GGA-PBE) on a geometry-optimized MgSbIrRh structure.

It has space group F-43m (No. 216), with a = 6.3907 Å, b = 6.3907 Å, c = 6.3907 Å, α = 90.00°, β = 90.00° and γ = 90.00°. Symmetry generates all atoms from Mg at (0.0000, 0.0000, 0.0000), Sb at (0.0000, 0.0000, 0.5000), Ir at (0.2500, 0.2500, 0.7500) and Rh at (0.2500, 0.2500, 0.2500).

The energy relative to the elements, uncorrected is -0.36 eV/atom.



# 14
VASP calculation (GGA-PBE) on a geometry-optimized FeMo2Se structure.

It has space group I-42d (No. 122), with a = 5.5423 Å, b = 5.5423 Å, c = 10.6052 Å, α = 90.00°, β = 90.00° and γ = 90.00°. Symmetry generates all atoms from Fe at (0.0000, 0.0000, 0.0000), Mo at (0.2144, 0.2500, 0.1250) and Se at (0.0000, 0.0000, 0.5000).

The energy relative to the elements, uncorrected is 0.80 eV/atom.



# 15
VASP calculation (GGA-PBE) on a geometry-optimized KRbCa2Tl structure.

It has space group P4/mmm (No. 123), with a = 6.2217 Å, b = 6.2217 Å, c = 6.9708 Å, α = 90.00°, β = 90.00° and γ = 90.00°. Symmetry generates all atoms from K at (0.0000, 0.0000, 0.0000), Rb at (0.5000, 0.5000, 0.0000), Ca at (0.0000, 0.5000, 0.5000) and Tl at (0.0000, 0.0000, 0.5000).

The formation energy comes out at 2.2 kJ/mol of atoms.



# 16
VASP calculation (GGA-PBE) on a geometry-optimized ZrAgRu2 structure.

It has space group P4/mmm (No. 123), with a = 4.0881 Å, b = 4.0881 Å, c = 3.9129 Å, α = 90.00°, β = 90.00° and γ = 90.00°. Symmetry generates all atoms from Zr at (0.0000, 0.0000, 0.0000), Ag at (0.5000, 0.5000, 0.0000) and Ru at (0.0000, 0.5000, 0.5000).

The formation energy comes out at -1.4 kJ/mol of atoms. The calculation puts the excess energy over the best structure of this formula in the dataset at 0.0 meV/atom.



# 17
VASP calculation (GGA-PBE) on a geometry-optimized K2TiSbF structure.

It has space group P4/mmm (No. 123), with a = 6.9541 Å, b = 6.9541 Å, c = 4.4279 Å, α = 90.00°, β = 90.00° and γ = 90.00°. Symmetry generates all atoms from K at (0.0000, 0.5000, 0.0000), Ti at (0.0000, 0.0000, 0.5000), Sb at (0.5000, 0.5000, 0.0000) and F at (0.5000, 0.5000, 0.5000).

The energy relative to the elements, uncorrected is 0.29 eV/atom.



# 18
VASP calculation (GGA-PBE) on a geometry-optimized Au5Se structure.

It has space group Cm (No. 8), with a = 11.1863 Å, b = 2.9370 Å, c = 7.1417 Å, α = 90.00°, β = 106.26° and γ = 90.00°. Symmetry generates all atoms from Au at (0.0000, 0.0000, 0.0000), Au at (0.0614, 0.0000, 0.6225), Au at (0.1587, 0.5000, 0.3314), Au at (0.2236, 0.5000, 0.9547), Au at (0.3294, 0.0000, 0.6834) and Se at (0.3850, 0.0000, 0.3262).

The energy relative to the elements, uncorrected is 0.15 eV/atom.



# 19
VASP calculation (GGA-PBE) on a geometry-optimized NaTa2CdSn structure.

It has space group P4/mmm (No. 123), with a = 4.8507 Å, b = 4.8507 Å, c = 4.7828 Å, α = 90.00°, β = 90.00° and γ = 90.00°. Symmetry generates all atoms from Na at (0.0000, 0.0000, 0.0000), Ta at (0.0000, 0.5000, 0.0000), Cd at (0.0000, 0.0000, 0.5000) and Sn at (0.5000, 0.5000, 0.5000).

The formation energy comes out at 180.5 kJ/mol of atoms.



# 20
VASP calculation (GGA-PBE) on a geometry-optimized HoMg3Ag4 structure.

It has space group P4/mmm (No. 123), with a = 4.8097 Å, b = 4.8097 Å, c = 6.9410 Å, α = 90.00°, β = 90.00° and γ = 90.00°. Symmetry generates all atoms from Ho at (0.0000, 0.0000, 0.0000), Mg at (0.0000, 0.0000, 0.5000), Mg at (0.5000, 0.5000, 0.0000), Mg at (0.5000, 0.5000, 0.5000) and Ag at (0.0000, 0.5000, 0.2665).

The formation energy comes out at -23.3 kJ/mol of atoms.



| no. | size of the total moment (μB per formula unit) |
| --- | --- |
| 1 | 0.00 |
| 2 | 0.08 |
| 3 | 0.00 |
| 4 | 0.00 |
| 5 | 0.00 |
| 6 | 0.00 |
| 7 | 0.00 |
| 8 | 3.94 |
| 9 | 0.00 |
| 10 | 0.00 |
| 11 | 1.03 |
| 12 | 1.11 |
| 13 | 0.15 |
| 14 | 0.00 |
| 15 | 0.00 |
| 16 | 0.00 |
| 17 | 0.30 |
| 18 | 0.00 |
| 19 | 0.00 |
| 20 | 0.00 |